P | LaNiPb2 | PBEsol | optimized geometry

Cell lengths 4.4553, 4.4553, 17.1052 Å; angles 90.00, 90.00, 120.00 degrees
Space group R-3m (No. 166, hexagonal axes)
One atom of each set of equivalent atoms:
La (0.0000, 0.0000, 0.0000)
Ni (0.0000, 0.0000, 0.5000)
Pb (0.0000, 0.0000, 0.2217)

## Properties
Magnetization, μB per formula unit: 0.00

***

Q | LaNiPb2 | PBEsol | optimized geometry

Cell lengths 7.3137, 7.3137, 7.3137 Å; angles 90.00, 90.00, 90.00 degrees
Space group F-43m (No. 216)
One atom of each set of equivalent atoms:
La (0.0000, 0.0000, 0.0000)
Ni (0.2500, 0.2500, 0.2500)
Pb (0.0000, 0.0000, 0.5000)
Pb (0.2500, 0.2500, 0.7500)

## Properties
Magnetization, μB per formula unit: 0.00

***

Looking at the structures above, P is most stable, and the difference to the next one is 262 meV/atom.